# CsMgNb2O

CsMgNb2O after structural relaxation (PBEsol, Alexandria via LeMat-Bulk).

POSCAR file:
```
CsMgNb2O
1.0
4.2543 0.0000 0.0000
0.0000 4.2543 0.0000
0.0000 0.0000 5.5136
O Cs Mg Nb
1 1 1 2
Direct
0.0000 0.0000 0.0000 O
0.0000 0.0000 0.5000 Cs
0.5000 0.5000 0.5000 Mg
0.5000 0.0000 0.0000 Nb
0.0000 0.5000 0.0000 Nb
```

Calculated values
- space-group type = P4/mmm
- final energy (eV per cell) = -28.9
- spin magnetization (μB/f.u.) = 0.0
- ΔE_f (raw) (eV/atom) = 0.122
- mass density (Mg/m³) = 5.97
- Fermi-level density of states (states/eV per cell) = 4.79